Entry from Alexandria via LeMat-Bulk: an optimized crystal structure of KLa2Si (PBE).

a = 11.685 Å, b = 11.685 Å, c = 11.685 Å
α = 18.77°, β = 18.77°, γ = 18.77°
Positions (direct):
K (0.000, 0.000, 0.000)
La (0.533, 0.533, 0.533)
La (0.780, 0.780, 0.780)
Si (0.260, 0.260, 0.260)

Fermi-level density of states ... 3.4 states/eV/f.u.
Formation energy without anion corrections ... 20.81 kJ per mole of atoms
Spin magnetization ... 0.000 μB/atom
Final energy ... -15.51 eV/cell